Compound: LaPm2Mg2Sn2
Source: Alexandria via LeMat-Bulk
Functional: PBE
Structure: relaxed

Calculated values
Fermi-level density of states (states/eV per cell): 6.408
Total magnetic moment (Bohr magnetons per cell): 0.00
DFT formation energy (kcal/mol of atoms): -9.014
Mass density (g/cm³): 5.935

a = 9.578 Å, b = 9.578 Å, c = 9.578 Å
α = 30.45°, β = 30.45°, γ = 30.45°
Element x y z (fractional)
La1 0.000 0.000 0.000
Pm1 0.131 0.131 0.131
Pm2 0.869 0.869 0.869
Mg1 0.409 0.409 0.409
Mg2 0.591 0.591 0.591
Sn1 0.262 0.262 0.262
Sn2 0.738 0.738 0.738